## RbCdHOs2 (PBE-GGA)

Data for a geometry-optimized RbCdHOs2 structure.

* VASP energy: -10.6 eV/cell
* D(E_F): 0.704 states/eV per atom

Lattice parameters (Å, degrees): 6.6072 7.4568 6.6072 90.00 90.00 90.00
With the nearest neighbours (Å) after each atom.
Positions (direct):
H: 0.5000 0.5000 0.5000  4 Cd 4.67, 8 Os 4.98
Os: 0.0000 0.0000 0.5000  2 Rb 3.30
Os: 0.5000 0.0000 0.0000  2 Rb 3.30
Rb: 0.0000 0.0000 0.0000  4 Os 3.30
Cd: 0.0000 0.5000 0.0000  2 Rb 3.73


## AlRhPb2 (PBE-GGA)

Data for a geometry-optimized AlRhPb2 structure.

* ΔH_f (0 K): 207 meV/atom
* D(E_F): 0.574 states/eV per atom

Lattice parameters (Å, degrees): 5.3142 5.3142 5.3142 134.52 122.18 76.48
With the nearest neighbours (Å) after each atom.
Positions (direct):
Pb: 0.9890 0.9890 0.0000  2 Rh 2.86, 2 Al 2.99
Pb: 0.5110 0.5110 0.0000  2 Rh 2.86, 2 Al 2.99
Rh: 0.7500 0.2500 0.5000  4 Pb 2.86
Al: 0.2500 0.7500 0.5000  8 Pb 2.99-3.25, 4 Rh 3.29


## NdTm2Th3S6 (PBE-GGA)

Data for a geometry-optimized NdTm2Th3S6 structure.

* D(E_F): 0.580 states/eV per atom
* E_form (uncorrected): -1883.9 meV/atom

Lattice parameters (Å, degrees): 6.7717 6.7717 7.0935 99.13 99.13 119.74
With the nearest neighbours (Å) after each atom.
Positions (direct):
Nd: 0.0000 0.0000 0.0000  6 S 2.81-2.83
Tm: 0.3327 0.6673 0.0000  6 S 2.71-2.73
Tm: 0.6673 0.3327 0.0000  6 S 2.71-2.73
Th: 0.1615 0.8385 0.5000  6 S 2.85-2.91
Th: 0.8385 0.1615 0.5000  6 S 2.85-2.91
Th: 0.5000 0.5000 0.5000  6 S 2.84-2.91
S: 0.9213 0.5757 0.7636  2 Tm 2.73, 1 Nd 2.83, 3 Th 2.85-2.91
S: 0.7309 0.7309 0.2298  2 Tm 2.71, 1 Nd 2.81, 3 Th 2.84-2.89
S: 0.0787 0.4243 0.2364  2 Tm 2.73, 1 Nd 2.83, 3 Th 2.85-2.91
S: 0.5757 0.9213 0.7636  2 Tm 2.73, 1 Nd 2.83, 3 Th 2.85-2.91
S: 0.2691 0.2691 0.7702  2 Tm 2.71, 1 Nd 2.81, 3 Th 2.84-2.89
S: 0.4243 0.0787 0.2364  2 Tm 2.73, 1 Nd 2.83, 3 Th 2.85-2.91


## Ti3PdCl (PBE-GGA)

Data for a geometry-optimized Ti3PdCl structure.

* D(E_F): 0.700 states/eV per atom
* E_form (uncorrected): 518.2 meV/atom

Lattice parameters (Å, degrees): 4.8849 4.8849 4.8849 90.00 90.00 90.00
With the nearest neighbours (Å) after each atom.
Positions (direct):
Cl: 0.5000 0.5000 0.5000  12 Ti 3.45
Pd: 0.0000 0.0000 0.0000  6 Ti 2.44
Ti: 0.0000 0.5000 0.0000  2 Pd 2.44
Ti: 0.0000 0.0000 0.5000  2 Pd 2.44
Ti: 0.5000 0.0000 0.0000  2 Pd 2.44


Q: Look up the D(E_F) of the third one.
A: 0.580 states/eV per atom


Q: Look up the D(E_F) of the third one.
A: 0.580 states/eV per atom


Q: Look up the D(E_F) of the second one.
A: 0.574 states/eV per atom